[1]
Material: Rb2BaBeMo
Method: DFT, GGA-PBE
State: relaxed

The space group is P4/mmm (No. 123) and the conventional cell measures 7.5372, 7.5372 and 5.3441 Å, with angles of 90.00, 90.00 and 90.00 degrees. Symmetry generates all atoms from Rb at (0.0000, 0.5000, 0.0000), Ba at (0.0000, 0.0000, 0.0000), Be at (0.0000, 0.0000, 0.5000) and Mo at (0.5000, 0.5000, 0.5000).

For the energy relative to the elements, the calculation gives 1.88 eV per atom. The calculation puts the uncorrected energy at -9.02 eV per cell. The total magnetization is 1.035 μB per atom.



[2]
Material: CaTm2Os
Method: DFT, GGA-PBE
State: relaxed

The space group is P4/mmm (No. 123) and the conventional cell measures 3.3963, 3.3963 and 9.5096 Å, with angles of 90.00, 90.00 and 90.00 degrees. Symmetry generates all atoms from Ca at (0.0000, 0.0000, 0.0000), Tm at (0.5000, 0.5000, 0.3300) and Os at (0.0000, 0.0000, 0.5000).

The calculation puts the energy above the most stable polymorph in this dataset at 0.000 eV per atom. For the energy relative to the elements, the calculation gives -0.19 eV per atom. The calculation puts the uncorrected energy at -22.95 eV per cell. The total magnetization is 0.000 μB per atom.